Entry 1:
# CsMoH2Br8

A relaxed CsMoH2Br8 crystal (PBE, Alexandria).

Output
Crystal system: triclinic
Final energy: -3.261 eV/atom

The structure in CIF format:
```
data_CsMoH2Br8
_cell_length_a 6.935
_cell_length_b 7.046
_cell_length_c 9.990
_cell_angle_alpha 76.91
_cell_angle_beta 75.01
_cell_angle_gamma 73.51
_symmetry_space_group_name_H-M 'P 1'
_symmetry_Int_Tables_number 1
loop_
_symmetry_equiv_pos_as_xyz
'x,y,z'
loop_
_atom_site_label
_atom_site_fract_x
_atom_site_fract_y
_atom_site_fract_z
Cs1 0.000 0.000 0.000
Mo1 0.000 0.000 0.500
H1 0.467 0.738 0.266
H2 0.533 0.262 0.734
Br1 0.067 0.237 0.625
Br2 0.103 0.219 0.270
Br3 0.369 0.800 0.484
Br4 0.462 0.297 0.882
Br5 0.538 0.703 0.118
Br6 0.631 0.200 0.516
Br7 0.897 0.781 0.730
Br8 0.933 0.763 0.375
```

=====

Entry 2:
# Nb2BiPPb

A relaxed Nb2BiPPb crystal (PBE, Alexandria).

Output
Crystal system: tetragonal
Formation energy from the elements: 0.51 eV/atom

The structure in CIF format:
```
data_Nb2BiPPb
_cell_length_a 4.762
_cell_length_b 4.762
_cell_length_c 5.527
_cell_angle_alpha 90.00
_cell_angle_beta 90.00
_cell_angle_gamma 90.00
_symmetry_space_group_name_H-M 'P 1'
_symmetry_Int_Tables_number 1
loop_
_symmetry_equiv_pos_as_xyz
'x,y,z'
loop_
_atom_site_label
_atom_site_fract_x
_atom_site_fract_y
_atom_site_fract_z
Nb1 0.000 0.500 0.000
Nb2 0.500 0.000 0.000
Bi1 0.000 0.000 0.500
P1 0.500 0.500 0.000
Pb1 0.500 0.500 0.500
```

=====

Entry 3:
# BiAs2Pt2

A relaxed BiAs2Pt2 crystal (PBE, Alexandria).

Output
Crystal system: tetragonal
Formation energy from the elements: -0.03 eV/atom

The structure in CIF format:
```
data_BiAs2Pt2
_cell_length_a 7.749
_cell_length_b 7.749
_cell_length_c 3.283
_cell_angle_alpha 90.00
_cell_angle_beta 90.00
_cell_angle_gamma 90.00
_symmetry_space_group_name_H-M 'P 1'
_symmetry_Int_Tables_number 1
loop_
_symmetry_equiv_pos_as_xyz
'x,y,z'
loop_
_atom_site_label
_atom_site_fract_x
_atom_site_fract_y
_atom_site_fract_z
Bi1 0.000 0.000 0.000
Bi2 0.500 0.500 0.000
As1 0.145 0.355 0.500
As2 0.355 0.855 0.500
As3 0.645 0.145 0.500
As4 0.855 0.645 0.500
Pt1 0.131 0.631 0.000
Pt2 0.369 0.131 0.000
Pt3 0.631 0.869 0.000
Pt4 0.869 0.369 0.000
```